## P
# DyPPbO (PBE, relaxed)
# - space group = P4/nmm
data_DyPPbO
_symmetry_space_group_name_H-M 'P 1'
_symmetry_Int_Tables_number 1
_cell_length_a 4.657
_cell_length_b 4.657
_cell_length_c 8.127
_cell_angle_alpha 90.00
_cell_angle_beta 90.00
_cell_angle_gamma 90.00
loop_
_symmetry_equiv_pos_as_xyz
'x,y,z'
loop_
_atom_site_label
_atom_site_fract_x
_atom_site_fract_y
_atom_site_fract_z
Pb1 0.250 0.250 0.102
P1 0.750 0.750 0.330
P2 0.250 0.250 0.670
O1 0.750 0.250 0.000
Dy1 0.750 0.250 0.500
O2 0.250 0.750 0.000
Dy2 0.250 0.750 0.500
Pb2 0.750 0.750 0.898

***

## Q
# DyPPbO (PBE, relaxed)
# - space group = P4/nmm
data_DyPPbO
_symmetry_space_group_name_H-M 'P 1'
_symmetry_Int_Tables_number 1
_cell_length_a 4.264
_cell_length_b 4.264
_cell_length_c 9.272
_cell_angle_alpha 90.00
_cell_angle_beta 90.00
_cell_angle_gamma 90.00
loop_
_symmetry_equiv_pos_as_xyz
'x,y,z'
loop_
_atom_site_label
_atom_site_fract_x
_atom_site_fract_y
_atom_site_fract_z
Pb1 0.250 0.750 0.500
P1 0.250 0.250 0.731
P2 0.750 0.750 0.269
Dy1 0.750 0.750 0.904
O1 0.250 0.750 0.000
Pb2 0.750 0.250 0.500
O2 0.750 0.250 0.000
Dy2 0.250 0.250 0.096

***

Ranking the structures above from most stable to least stable yields Q, P.